An optimized crystal structure of Tm3HgRh. Source: Alexandria, functional GGA-PBE.

Cell and atoms, written as CIF:
```
data_Tm3HgRh
_chemical_formula_sum 'Tm12 Hg4 Rh4'
_space_group_name_H-M_alt 'C 1 2/m 1'
_space_group_IT_number 12
_cell_length_a 15.302
_cell_length_b 4.062
_cell_length_c 10.043
_cell_angle_alpha 90.00
_cell_angle_beta 124.71
_cell_angle_gamma 90.00
loop_
_space_group_symop_operation_xyz
'x,y,z'
'-x,-y,-z'
'-x,y,-z'
'x,-y,z'
'x+1/2,y+1/2,z'
'-x+1/2,-y+1/2,-z'
'-x+1/2,y+1/2,-z'
'x+1/2,-y+1/2,z'
loop_
_atom_site_label
_atom_site_fract_x
_atom_site_fract_y
_atom_site_fract_z
Tm1 0.091 0.000 0.447
Tm2 0.137 0.500 0.208
Tm3 0.167 0.500 0.799
Hg1 0.077 0.000 0.928
Rh1 0.232 0.500 0.590
```

Its crystal system is monoclinic. The calculation puts the energy above the most stable polymorph in this dataset at 0.000 eV/f.u. For the formation energy, the calculation gives -553.9 meV/atom. As for the volume: 128.30 Å³/f.u. The final energy comes out at -95.349 eV per cell.

An optimized crystal structure of Tm3HgRh8. Source: Alexandria, functional GGA-PBE.

Cell and atoms, written as CIF:
```
data_Tm3HgRh8
_chemical_formula_sum 'Tm3 Hg1 Rh8'
_space_group_name_H-M_alt 'P 3 m 1'
_space_group_IT_number 156
_cell_length_a 5.2791
_cell_length_b 5.2791
_cell_length_c 8.6374
_cell_angle_alpha 90.00
_cell_angle_beta 90.00
_cell_angle_gamma 120.00
loop_
_space_group_symop_operation_xyz
'x,y,z'
'-y,x-y,z'
'-x+y,-x,z'
'-y,-x,z'
'-x+y,y,z'
'x,x-y,z'
loop_
_atom_site_label
_atom_site_fract_x
_atom_site_fract_y
_atom_site_fract_z
Tm1 0.0000 0.0000 0.0000
Tm2 0.0000 0.0000 0.3787
Tm3 0.3333 0.6667 0.8456
Hg1 0.3333 0.6667 0.4845
Rh1 0.0068 0.5034 0.1794
Rh2 0.3296 0.1648 0.6830
Rh3 0.6667 0.3333 0.4320
Rh4 0.6667 0.3333 0.9347
```

Its crystal system is trigonal. For the formation energy, the calculation gives -588.0 meV/atom. As for the volume: 208.47 Å³/f.u. The final energy comes out at -79.584 eV per cell.

An optimized crystal structure of TmHg2Rh. Source: Alexandria, functional GGA-PBE.

Cell and atoms, written as CIF:
```
data_TmHg2Rh
_chemical_formula_sum 'Tm4 Hg8 Rh4'
_space_group_name_H-M_alt 'F m -3 m'
_space_group_IT_number 225
_space_group_name_Hall '-F 4 2 3'
_cell_length_a 6.869
_cell_length_b 6.869
_cell_length_c 6.869
_cell_angle_alpha 90.00
_cell_angle_beta 90.00
_cell_angle_gamma 90.00
loop_
_atom_site_label
_atom_site_fract_x
_atom_site_fract_y
_atom_site_fract_z
Tm1 0.000 0.000 0.000
Hg1 0.250 0.250 0.250
Rh1 0.000 0.000 0.500
```

Its crystal system is cubic. For the formation energy, the calculation gives -293.9 meV/atom. As for the volume: 81.04 Å³/f.u. The final energy comes out at -54.408 eV per cell.

An optimized crystal structure of Tm5Hg4Rh. Source: Alexandria, functional GGA-PBE.

Cell and atoms, written as CIF:
```
data_Tm5Hg4Rh
_chemical_formula_sum 'Tm5 Hg4 Rh1'
_space_group_name_H-M_alt 'P 4/m m m'
_space_group_IT_number 123
_space_group_name_Hall '-P 4 2'
_cell_length_a 3.564
_cell_length_b 3.564
_cell_length_c 18.587
_cell_angle_alpha 90.00
_cell_angle_beta 90.00
_cell_angle_gamma 90.00
loop_
_atom_site_label
_atom_site_fract_x
_atom_site_fract_y
_atom_site_fract_z
Tm1 0.000 0.000 0.000
Tm2 0.000 0.000 0.205
Tm3 0.000 0.000 0.414
Hg1 0.500 0.500 0.103
Hg2 0.500 0.500 0.307
Rh1 0.500 0.500 0.500
```

Its crystal system is tetragonal. For the formation energy, the calculation gives -572.9 meV/atom. As for the volume: 236.14 Å³/f.u. The final energy comes out at -36.645 eV per cell.

An optimized crystal structure of TmZnHgRh. Source: Alexandria, functional GGA-PBE.

Cell and atoms, written as CIF:
```
data_TmZnHgRh
_chemical_formula_sum 'Tm4 Zn4 Hg4 Rh4'
_space_group_name_H-M_alt 'F -4 3 m'
_space_group_IT_number 216
_space_group_name_Hall 'F -4 2 3'
_cell_length_a 6.709
_cell_length_b 6.709
_cell_length_c 6.709
_cell_angle_alpha 90.00
_cell_angle_beta 90.00
_cell_angle_gamma 90.00
loop_
_atom_site_label
_atom_site_fract_x
_atom_site_fract_y
_atom_site_fract_z
Tm1 0.000 0.000 0.000
Zn1 0.000 0.000 0.500
Hg1 0.250 0.250 0.750
Rh1 0.250 0.250 0.250
```

Its crystal system is cubic. For the formation energy, the calculation gives -366.8 meV/atom. As for the volume: 75.51 Å³/f.u. The final energy comes out at -59.463 eV per cell.

An optimized crystal structure of TmZrHgRh. Source: Alexandria, functional GGA-PBE.

Cell and atoms, written as CIF:
```
data_TmZrHgRh
_chemical_formula_sum 'Tm4 Zr4 Hg4 Rh4'
_space_group_name_H-M_alt 'F -4 3 m'
_space_group_IT_number 216
_space_group_name_Hall 'F -4 2 3'
_cell_length_a 6.938
_cell_length_b 6.938
_cell_length_c 6.938
_cell_angle_alpha 90.00
_cell_angle_beta 90.00
_cell_angle_gamma 90.00
loop_
_atom_site_label
_atom_site_fract_x
_atom_site_fract_y
_atom_site_fract_z
Tm1 0.000 0.000 0.000
Zr1 0.000 0.000 0.500
Hg1 0.250 0.250 0.750
Rh1 0.250 0.250 0.250
```

Its crystal system is cubic. For the formation energy, the calculation gives -459.8 meV/atom. As for the volume: 83.49 Å³/f.u. The final energy comes out at -90.049 eV per cell.